The following is a PBE with a Hubbard U calculation of a relaxed CrAgBF6 crystal, from the Alexandria database.

Values from the calculation:
As for the space-group type: P1. For the total energy, the calculation gives -5.44 eV per atom. Its total moment is 3.99 Bohr magnetons per cell.

a = 4.331 Å, b = 5.923 Å, c = 6.463 Å
α = 79.47°, β = 84.97°, γ = 71.65°
Positions (direct):
Cr 0.000 0.000 0.000
Ag 0.513 0.998 0.495
B 0.699 0.539 0.048
F 0.173 0.973 0.275
F 0.459 0.692 0.907
F 0.566 0.406 0.209
F 0.839 0.031 0.721
F 0.855 0.683 0.129
F 0.942 0.375 0.932